(1)
Pa2TeO11 | the Alexandria database | PBE | optimized geometry; DOS(E_F) = 3.863 states/eV/f.u.; formation energy without anion corrections = -1.848 eV/atom; total moment = 0.01 μB/atom; final energy = -7.33 eV per atom; SG = Cc
1.0
5.1041 -5.7427 0.0000
5.1041 5.7427 0.0000
-4.0874 0.0000 6.9798
Pa Te O
4 2 22
Cartesian
3.0604 5.2775 3.4899
-0.2961 0.5911 6.9423
1.7476 -0.5911 3.4524
5.1041 -5.2775 0.0000
4.9522 1.8426 3.5288
6.9959 -1.8426 0.0389
1.1868 3.9691 4.9751
-0.8593 2.5967 6.4814
-2.2523 0.0917 5.6837
-0.2086 -0.0917 2.1938
1.8583 3.1496 5.7656
5.9624 3.5128 0.0299
0.2973 0.2498 4.8356
3.9344 3.4433 4.0474
2.3409 -0.2498 1.3457
4.4813 1.7065 1.6724
3.3826 0.7222 3.8467
1.1844 -2.5967 2.9916
5.4263 -0.7222 0.3568
2.4376 -1.7065 5.1623
5.4461 1.6746 5.3912
3.2305 -3.9691 1.4852
6.2865 0.4299 3.2852
3.9020 -3.1496 2.2757
4.2428 -0.4299 6.7751
3.9187 -3.5128 3.5197
5.9781 -3.4433 0.5575
7.4898 -1.6746 1.9013


(2)
PaTeO6 | the Alexandria database | PBE | optimized geometry; DOS(E_F) = 4.858 states/eV/f.u.; formation energy without anion corrections = -1.744 eV/atom; total moment = 0.13 μB/atom; final energy = -7.04 eV per atom; SG = C2/m
1.0
5.2796 0.0000 0.0000
0.0000 8.8270 0.0000
-1.0745 0.0000 5.0574
Pa Te O
2 2 12
Cartesian
0.0000 0.0000 0.0000
2.6398 4.4135 0.0000
-0.5372 4.4135 2.5287
2.1026 0.0000 2.5287
0.3292 3.1253 3.7066
0.3292 5.7017 3.7066
1.0246 4.4135 1.3699
0.5407 0.0000 3.6875
1.2361 1.2882 1.3508
1.2361 7.5388 1.3508
2.9690 1.2882 3.7066
2.9690 7.5388 3.7066
3.6644 0.0000 1.3699
3.1805 4.4135 3.6875
3.8760 3.1253 1.3508
3.8760 5.7017 1.3508


(3)
Pa3Te5O | the Alexandria database | PBE | optimized geometry; DOS(E_F) = 7.899 states/eV/f.u.; formation energy without anion corrections = -1.080 eV/atom; total moment = 0.34 μB/atom; final energy = -6.54 eV per atom; SG = C2/m
1.0
6.4774 -5.2951 0.0000
6.4774 5.2951 0.0000
-3.3368 0.0000 8.5756
Pa Te O
6 10 2
Cartesian
0.0000 0.0000 0.0000
-1.6684 0.0000 4.2878
1.9193 0.0000 3.4708
1.7732 0.0000 7.1130
7.8447 0.0000 1.4626
7.6986 0.0000 5.1048
2.8762 3.1935 3.1543
2.8851 0.0000 0.5241
6.4774 2.3072 0.0000
6.7418 3.1935 5.4213
5.3407 0.0000 2.8473
4.2773 0.0000 5.7283
2.8762 -3.1935 3.1543
6.4774 -2.3072 0.0000
6.7328 0.0000 8.0515
6.7418 -3.1935 5.4213
0.0220 0.0000 2.4057
9.5959 0.0000 6.1699


(4)
PaTl2Te2O6 | the Alexandria database | PBE | optimized geometry; DOS(E_F) = 2.471 states/eV/f.u.; formation energy without anion corrections = -1.581 eV/atom; total moment = 0.00 μB/atom; final energy = -6.15 eV per atom; SG = C2/m
1.0
4.9710 -3.6095 0.0000
4.9710 3.6095 0.0000
-2.3892 0.0000 6.2702
Pa Tl Te O
1 2 2 6
Cartesian
0.0000 0.0000 0.0000
0.5014 0.0000 3.9783
7.0513 0.0000 2.2919
3.7642 0.0000 1.2912
3.7885 0.0000 4.9789
3.9573 2.1484 1.2178
1.8221 0.0000 1.3898
3.5954 2.1484 5.0524
3.9573 -2.1484 1.2178
5.7307 0.0000 4.8804
3.5954 -2.1484 5.0524


(5)
PaTl3Te2O9 | the Alexandria database | PBE | optimized geometry; DOS(E_F) = 0.123 states/eV/f.u.; formation energy without anion corrections = -1.474 eV/atom; total moment = 0.00 μB/atom; final energy = -5.97 eV per atom; SG = P-3m1
1.0
6.0195 0.0000 0.0000
-3.0098 5.2131 0.0000
0.0000 0.0000 7.3392
Pa Tl Te O
1 3 2 9
Cartesian
0.0000 0.0000 0.0000
0.0000 0.0000 3.6696
0.0000 3.4754 1.3353
3.0098 1.7377 6.0039
0.0000 3.4754 4.8790
3.0098 1.7377 2.4603
-1.5049 2.6065 3.6696
0.0000 1.8161 6.0969
-1.4370 4.3050 6.0969
1.5728 0.9081 1.2423
3.0098 0.0000 3.6696
1.5049 2.6065 3.6696
1.4370 4.3050 6.0969
4.4467 0.9081 1.2423
3.0098 3.3969 1.2423


(6)
Pa2TlTeO8 | the Alexandria database | PBE | optimized geometry; DOS(E_F) = 3.147 states/eV/f.u.; formation energy without anion corrections = -2.330 eV/atom; total moment = 0.00 μB/atom; final energy = -7.68 eV per atom; SG = Cmmm
1.0
3.6166 -3.6571 0.0000
3.6166 3.6571 0.0000
0.0000 0.0000 7.2447
Pa Tl Te O
2 1 1 8
Cartesian
0.0000 0.0000 1.8018
0.0000 0.0000 5.4430
3.6166 0.0000 3.6224
3.6166 0.0000 0.0000
3.6166 2.4011 3.6224
3.6166 2.2560 0.0000
2.1253 0.0000 1.5831
2.1253 0.0000 5.6617
5.1079 0.0000 1.5831
5.1079 0.0000 5.6617
3.6166 -2.2560 0.0000
3.6166 -2.4011 3.6224


(7)
PaTl3Te2O8 | the Alexandria database | PBE | optimized geometry; DOS(E_F) = 0.000 states/eV/f.u.; formation energy without anion corrections = -1.484 eV/atom; total moment = 0.00 μB/atom; final energy = -5.95 eV per atom; SG = P-3m1
1.0
6.5900 0.0000 0.0000
-3.2950 5.7072 0.0000
0.0000 0.0000 7.8535
Pa Tl Te O
1 3 2 8
Cartesian
0.0000 0.0000 0.0000
0.0000 0.0000 3.9267
0.0000 3.8048 2.3131
3.2950 1.9024 5.5404
0.0000 3.8048 6.5273
3.2950 1.9024 1.3262
0.0000 1.7430 6.5233
-1.7856 4.8357 6.5233
1.5095 0.8715 1.3302
0.0000 3.8048 4.6629
3.2950 1.9024 3.1906
1.7856 4.8357 6.5233
5.0806 0.8715 1.3302
3.2950 3.9642 1.3302


(8)
PaTlTe2O8 | the Alexandria database | PBE | optimized geometry; DOS(E_F) = 6.484 states/eV/f.u.; formation energy without anion corrections = -1.498 eV/atom; total moment = 0.00 μB/atom; final energy = -6.32 eV per atom; SG = P-3m1
1.0
6.3148 0.0000 0.0000
-3.1574 5.4687 0.0000
0.0000 0.0000 7.8517
Pa Tl Te O
1 1 2 8
Cartesian
0.0000 0.0000 0.0000
0.0000 0.0000 3.9258
0.0000 3.6458 6.0351
3.1574 1.8229 1.8166
0.0000 1.7102 6.5109
-1.6763 4.6136 6.5109
1.4811 0.8551 1.3408
0.0000 3.6458 4.2197
3.1574 1.8229 3.6320
1.6763 4.6136 6.5109
4.8336 0.8551 1.3408
3.1574 3.7585 1.3408


(9)
PaTlTeO6 | the Alexandria database | PBE | optimized geometry; DOS(E_F) = 0.000 states/eV/f.u.; formation energy without anion corrections = -1.893 eV/atom; total moment = 0.00 μB/atom; final energy = -6.87 eV per atom; SG = P-31c
1.0
5.7012 0.0000 0.0000
-2.8506 4.9374 0.0000
0.0000 0.0000 12.1697
Pa Tl Te O
2 2 2 12
Cartesian
0.0000 3.2916 3.0424
2.8506 1.6458 9.1272
0.0000 0.0000 0.0000
0.0000 0.0000 6.0848
0.0000 3.2916 9.1272
2.8506 1.6458 3.0424
-0.9566 1.9749 8.0279
-1.6186 3.1215 10.2266
0.9566 1.9749 10.2266
-0.6620 4.7784 8.0279
2.1886 0.1590 1.9431
1.2320 1.8159 4.1418
1.6186 3.1215 8.0279
0.6620 4.7784 10.2266
3.5126 0.1590 4.1418
1.8940 2.9625 1.9431
4.4692 1.8159 1.9431
3.8072 2.9625 4.1418


(10)
PaTl2Te3O12 | the Alexandria database | PBE | optimized geometry; DOS(E_F) = 1.308 states/eV/f.u.; formation energy without anion corrections = -1.446 eV/atom; total moment = 0.00 μB/atom; final energy = -6.07 eV per atom; SG = R-3m
1.0
3.7204 2.1480 6.4215
-3.7204 2.1480 6.4215
0.0000 -4.2959 6.4215
Pa Tl Te O
1 2 3 12
Cartesian
0.0000 0.0000 0.0000
0.0000 0.0000 7.5892
0.0000 0.0000 11.6753
-3.7204 0.0000 9.6322
-1.8602 1.0740 3.2107
1.8602 1.0740 3.2107
0.0000 -2.5507 5.1299
-2.2090 1.2754 5.1299
-2.2439 -1.2955 9.2870
0.0000 -2.5910 9.9774
-2.2439 1.2955 9.9774
-2.2090 -1.2754 14.1346
2.2090 1.2754 5.1299
2.2439 -1.2955 9.2870
0.0000 2.5910 9.2870
2.2439 1.2955 9.9774
2.2090 -1.2754 14.1346
0.0000 2.5507 14.1346


(11)
Tm2PaTeO8 | the Alexandria database | PBE | optimized geometry; DOS(E_F) = 3.873 states/eV/f.u.; formation energy without anion corrections = -2.831 eV/atom; total moment = 0.00 μB/atom; final energy = -7.93 eV per atom; SG = Cmmm
1.0
3.4833 -3.5924 0.0000
3.4833 3.5924 0.0000
0.0000 0.0000 6.9180
Tm Pa Te O
2 1 1 8
Cartesian
0.0000 0.0000 1.6894
0.0000 0.0000 5.2286
3.4833 0.0000 3.4590
3.4833 0.0000 0.0000
1.3762 0.0000 3.4590
1.4452 0.0000 0.0000
3.4833 1.3351 1.6370
3.4833 1.3351 5.2809
3.4833 -1.3351 1.6370
3.4833 -1.3351 5.2809
5.5214 0.0000 0.0000
5.5904 0.0000 3.4590


(12)
Y2PaTeO8 | the Alexandria database | PBE | optimized geometry; DOS(E_F) = 4.224 states/eV/f.u.; formation energy without anion corrections = -2.781 eV/atom; total moment = 0.00 μB/atom; final energy = -8.22 eV per atom; SG = Cmmm
1.0
3.5196 -3.6406 0.0000
3.5196 3.6406 0.0000
0.0000 0.0000 6.9741
Y Pa Te O
2 1 1 8
Cartesian
0.0000 0.0000 1.7030
0.0000 0.0000 5.2711
3.5196 0.0000 3.4870
3.5196 0.0000 0.0000
1.4155 0.0000 3.4870
1.4868 0.0000 0.0000
3.5196 1.3294 1.6508
3.5196 1.3294 5.3232
3.5196 -1.3294 1.6508
3.5196 -1.3294 5.3232
5.5525 0.0000 0.0000
5.6238 0.0000 3.4870